[1]
Material: K2TePt
Method: DFT, PBE
State: relaxed

a b c (Å): 9.176 9.176 9.176
angles (deg): 94.43 94.43 147.71
Atoms (fractional coordinates):
K 0.375 0.138 0.263
K 0.862 0.125 0.237
K 0.875 0.112 0.737
K 0.888 0.625 0.763
Te 0.250 0.750 0.500
Te 0.500 0.500 0.000
Pt 0.000 0.000 0.000
Pt 0.750 0.250 0.500

SG ... I-42d, No. 122
Crystal system ... tetragonal

***

[2]
Material: K2TePt
Method: DFT, PBE
State: relaxed

a b c (Å): 6.070 6.070 6.070
angles (deg): 132.81 122.58 77.40
Atoms (fractional coordinates):
K 0.000 0.000 0.000
K 0.689 0.189 0.500
Te 0.398 0.398 0.000
Pt 0.312 0.812 0.500

SG ... Imm2, No. 44
Crystal system ... orthorhombic

***

[3]
Material: KTe2Pt
Method: DFT, PBE
State: relaxed

a b c (Å): 4.483 4.483 8.748
angles (deg): 90.00 90.00 126.28
Atoms (fractional coordinates):
K 0.000 0.000 0.000
Te 0.500 0.500 0.310
Te 0.500 0.500 0.690
Pt 0.000 0.000 0.500

SG ... Cmmm, No. 65
Crystal system ... orthorhombic

***

[4]
Material: KTe2Pt
Method: DFT, PBE
State: relaxed

a b c (Å): 3.582 3.582 8.504
angles (deg): 90.00 90.00 90.00
Atoms (fractional coordinates):
K 0.000 0.000 0.000
Te 0.500 0.500 0.312
Te 0.500 0.500 0.688
Pt 0.000 0.000 0.500

SG ... P4/mmm, No. 123
Crystal system ... tetragonal

***

[5]
Material: KTe2Pt
Method: DFT, PBE
State: relaxed

a b c (Å): 5.639 5.639 3.155
angles (deg): 90.00 90.00 90.13
Atoms (fractional coordinates):
K 0.000 0.000 0.000
Te 0.000 0.500 0.500
Te 0.500 0.000 0.500
Pt 0.500 0.500 0.000

SG ... Cmmm, No. 65
Crystal system ... orthorhombic

***

[6]
Material: K2TePt
Method: DFT, PBE
State: relaxed

a b c (Å): 5.162 5.178 6.702
angles (deg): 90.00 96.55 90.00
Atoms (fractional coordinates):
K 0.216 0.000 0.252
K 0.784 0.000 0.748
Te 0.500 0.500 0.000
Pt 0.000 0.500 0.000

SG ... P2/m, No. 10
Crystal system ... monoclinic

***

[7]
Material: K2Te2Pt
Method: DFT, PBE
State: relaxed

a b c (Å): 6.868 6.868 6.868
angles (deg): 145.95 109.19 80.95
Atoms (fractional coordinates):
K 0.207 0.207 0.000
K 0.793 0.793 0.000
Te 0.279 0.500 0.779
Te 0.721 0.500 0.221
Pt 0.500 0.000 0.500

SG ... Immm, No. 71
Crystal system ... orthorhombic

***

[8]
Material: K2TePt
Method: DFT, PBE
State: relaxed

a b c (Å): 5.309 5.309 5.309
angles (deg): 60.00 60.00 60.00
Atoms (fractional coordinates):
K 0.000 0.000 0.000
K 0.250 0.250 0.250
Te 0.500 0.500 0.500
Pt 0.750 0.750 0.750

SG ... F-43m, No. 216
Crystal system ... cubic

***

Q: Which electronic total energy values were calculated for the entries above? A: -3.30; -3.42; -3.68; -3.43; -3.39; -3.23; -3.72; -3.05, in eV/atom.